Record 1
# PBE-GGA ErSn3, relaxed
# Uncorrected energy ... -270.5 eV for the cell shown
# M_tot ... 0.00 μB/f.u.
data_ErSn3
_chemical_formula_sum 'Er15 Sn45'
_symmetry_space_group_name_H-M 'R 3 m'
_symmetry_Int_Tables_number 160
_symmetry_space_group_name_Hall 'R 3 -2"'
_cell_length_a 6.5778
_cell_length_b 6.5778
_cell_length_c 41.2649
_cell_angle_alpha 90.00
_cell_angle_beta 90.00
_cell_angle_gamma 120.00
loop_
_atom_site_label
_atom_site_type_symbol
_atom_site_fract_x
_atom_site_fract_y
_atom_site_fract_z
Er1 Er 0.0000 0.0000 0.0000
Er2 Er 0.0000 0.0000 0.1364
Er3 Er 0.0000 0.0000 0.2723
Er4 Er 0.0000 0.0000 0.5365
Er5 Er 0.0000 0.0000 0.7359
Sn1 Sn 0.9999 0.4999 0.1362
Sn2 Sn 0.0032 0.5016 0.7359
Sn3 Sn 0.0039 0.5020 0.2694
Sn4 Sn 0.1680 0.3359 0.8700
Sn5 Sn 0.1686 0.3371 0.3363

***

Record 2
# PBE-GGA Nb4CoSe8, relaxed
# Uncorrected energy ... -171.4 eV for the cell shown
# M_tot ... 0.02 μB/f.u.
data_Nb4CoSe8
_chemical_formula_sum 'Nb8 Co2 Se16'
_symmetry_space_group_name_H-M 'P 63/m m c'
_symmetry_Int_Tables_number 194
_symmetry_space_group_name_Hall '-P 6c 2c'
_cell_length_a 6.9582
_cell_length_b 6.9582
_cell_length_c 12.3601
_cell_angle_alpha 90.00
_cell_angle_beta 90.00
_cell_angle_gamma 120.00
loop_
_atom_site_label
_atom_site_type_symbol
_atom_site_fract_x
_atom_site_fract_y
_atom_site_fract_z
Nb1 Nb 0.0000 0.0000 0.2500
Nb2 Nb 0.0184 0.5092 0.2500
Co1 Co 0.0000 0.0000 0.0000
Se1 Se 0.1667 0.3334 0.6156
Se2 Se 0.3333 0.6667 0.1079

***

Record 3
# PBE-GGA TcGeTe2, relaxed
# Uncorrected energy ... -73.2 eV for the cell shown
# M_tot ... 0.08 μB/f.u.
data_TcGeTe2
_chemical_formula_sum 'Tc4 Ge4 Te8'
_symmetry_space_group_name_H-M 'F -4 3 m'
_symmetry_Int_Tables_number 216
_symmetry_space_group_name_Hall 'F -4 2 3'
_cell_length_a 6.923
_cell_length_b 6.923
_cell_length_c 6.923
_cell_angle_alpha 90.00
_cell_angle_beta 90.00
_cell_angle_gamma 90.00
loop_
_atom_site_label
_atom_site_type_symbol
_atom_site_fract_x
_atom_site_fract_y
_atom_site_fract_z
Tc1 Tc 0.000 0.000 0.000
Ge1 Ge 0.250 0.250 0.250
Te1 Te 0.000 0.000 0.500
Te2 Te 0.250 0.250 0.750